# 1
Material: Nd2Ni4P3Ir
Method: DFT, PBE
State: optimized geometry

Unit cell a=3.9577 b=3.9577 c=9.8280 alpha=90.00 beta=90.00 gamma=90.00
Space group P-4m2 (No. 115)
Asymmetric unit:
Nd 0.0000 0.5000 0.2462 x2
Ni 0.0000 0.0000 0.0000 x1
Ni 0.0000 0.5000 0.6476 x2
Ni 0.5000 0.5000 0.0000 x1
P 0.0000 0.5000 0.8767 x2
P 0.5000 0.5000 0.5000 x1
Ir 0.0000 0.0000 0.5000 x1

Calculated values
- formation energy (eV/atom) = -0.771
- size of the total moment (μB per formula unit) = 0.00

***

# 2
Material: Nd2NiP4Ir3
Method: DFT, PBE
State: optimized geometry

Unit cell a=4.1992 b=4.1992 c=9.4436 alpha=90.00 beta=90.00 gamma=90.00
Space group P-4m2 (No. 115)
Asymmetric unit:
Nd 0.0000 0.5000 0.2461 x2
Ni 0.0000 0.0000 0.5000 x1
P 0.0000 0.0000 0.0000 x1
P 0.0000 0.5000 0.6315 x2
P 0.5000 0.5000 0.0000 x1
Ir 0.0000 0.5000 0.8862 x2
Ir 0.5000 0.5000 0.5000 x1

Calculated values
- formation energy (eV/atom) = -0.970
- size of the total moment (μB per formula unit) = 0.00